# In2CuNi

In2CuNi after structural relaxation (PBE, Alexandria via LeMat-Bulk).

The final energy is -3.814 eV per atom. The magnetization comes out at 0.0 μB/cell. The calculation puts the energy of formation from the pure elements at 0.100 eV per formula unit.

Cell: 4.487 4.487 3.258 Å, 90.00 90.00 90.00°
Space group P4/mmm (No. 123)
Inequivalent atoms, fractional coordinates:
In: 0.000 0.500 0.000 x2
Cu: 0.000 0.000 0.500 x1
Ni: 0.500 0.500 0.500 x1